(1)
Here is a relaxed BeGaPt4 crystal from Alexandria. Energies are from PBE.

Cell: 6.5375 3.5271 15.0780 Å, 90.00 90.00 90.00°
With the nearest neighbours (Å) after each atom.
Positions (direct):
Be 0.2503 0.2500 0.0574  9 Pt 2.39-2.65
Be 0.2497 0.7500 0.5574  9 Pt 2.39-2.65
Be 0.7503 0.2500 0.4426  9 Pt 2.39-2.65
Be 0.7497 0.7500 0.9426  9 Pt 2.39-2.65
Ga 0.2494 0.2500 0.8088  7 Pt 2.46-2.68
Ga 0.2506 0.7500 0.3088  7 Pt 2.46-2.68
Ga 0.7494 0.2500 0.6912  7 Pt 2.46-2.68
Ga 0.7506 0.7500 0.1912  7 Pt 2.46-2.68
Pt 0.0042 0.7500 0.4317  3 Be 2.43-2.48, 1 Ga 2.46, 2 Pt 2.71
Pt 0.0541 0.7500 0.7116  4 Ga 2.62-2.68, 1 Be 2.65, 4 Pt 2.82-2.93
Pt 0.1189 0.7500 0.1477  2 Be 2.39, 2 Ga 2.50-2.58
Pt 0.1393 0.7500 0.9540  3 Be 2.46-2.55
Pt 0.3607 0.2500 0.4540  3 Be 2.46-2.55
Pt 0.3811 0.2500 0.6477  2 Be 2.39, 2 Ga 2.50-2.58
Pt 0.4459 0.2500 0.2116  4 Ga 2.62-2.68, 1 Be 2.65, 4 Pt 2.82-2.93
Pt 0.4958 0.2500 0.9317  3 Be 2.43-2.48, 1 Ga 2.46, 2 Pt 2.71
Pt 0.5042 0.7500 0.0683  3 Be 2.43-2.48, 1 Ga 2.46, 2 Pt 2.71
Pt 0.5541 0.7500 0.7884  4 Ga 2.62-2.68, 1 Be 2.65, 4 Pt 2.82-2.93
Pt 0.6189 0.7500 0.3523  2 Be 2.39, 2 Ga 2.50-2.58
Pt 0.6393 0.7500 0.5460  3 Be 2.46-2.55
Pt 0.8607 0.2500 0.0460  3 Be 2.46-2.55
Pt 0.8811 0.2500 0.8523  2 Be 2.39, 2 Ga 2.50-2.58
Pt 0.9459 0.2500 0.2884  4 Ga 2.62-2.68, 1 Be 2.65, 4 Pt 2.82-2.93
Pt 0.9958 0.2500 0.5683  3 Be 2.43-2.48, 1 Ga 2.46, 2 Pt 2.71

Computed properties:
E above lowest polymorph = 0 meV per atom
M_tot = 0.0 Bohr magnetons per cell
Energy of formation from the pure elements = -474 meV/atom
Raw total energy = -5.6265 eV/atom

(2)
Here is a relaxed BaNaAs2Br crystal from Alexandria. Energies are from PBE.

Cell: 5.1469 5.1469 5.7843 Å, 90.00 90.00 90.00°
With the nearest neighbours (Å) after each atom.
Positions (direct):
Ba 0.0000 0.0000 0.0000  4 Br 3.64, 8 As 3.87
Na 0.5000 0.5000 0.5000  4 As 2.57
As 0.0000 0.5000 0.5000  2 Na 2.57
As 0.5000 0.0000 0.5000  2 Na 2.57
Br 0.5000 0.5000 0.0000  2 Na 2.89

Computed properties:
E above lowest polymorph = 0 meV per atom
M_tot = 0.9 Bohr magnetons per cell
Raw total energy = -3.1643 eV/atom

(3)
Here is a relaxed Mg5Al2Ga12 crystal from Alexandria. Energies are from PBE.

Cell: 9.0926 9.0926 6.6212 Å, 95.25 95.25 42.51°
With the nearest neighbours (Å) after each atom.
Positions (direct):
Mg 0.0000 0.0000 0.0000  8 Ga 2.99-3.12
Mg 0.2464 0.2464 0.9383  9 Ga 2.85-3.03
Mg 0.2938 0.2938 0.4576  7 Ga 2.91-3.07
Mg 0.7062 0.7062 0.5424  7 Ga 2.91-3.07
Mg 0.7536 0.7536 0.0617  9 Ga 2.85-3.03
Al 0.2227 0.7773 0.5000  6 Ga 2.73-2.87, 1 Al 2.94
Al 0.7773 0.2227 0.5000  6 Ga 2.73-2.87, 1 Al 2.94
Ga 0.0583 0.6473 0.7639  4 Ga 2.67-2.73, 2 Mg 2.91-2.96
Ga 0.1348 0.1348 0.5880  4 Ga 2.65-2.72, 2 Al 2.73, 2 Mg 2.85-2.91
Ga 0.1862 0.5887 0.1555  4 Ga 2.65-2.80, 1 Al 2.87
Ga 0.3527 0.9417 0.2361  4 Ga 2.67-2.73, 2 Mg 2.91-2.96
Ga 0.4113 0.8138 0.8445  4 Ga 2.65-2.80, 1 Al 2.87
Ga 0.4663 0.4663 0.7914  5 Ga 2.73-2.88, 2 Al 2.76
Ga 0.5337 0.5337 0.2086  5 Ga 2.73-2.88, 2 Al 2.76
Ga 0.5887 0.1862 0.1555  4 Ga 2.65-2.80, 1 Al 2.87
Ga 0.6473 0.0583 0.7639  4 Ga 2.67-2.73, 2 Mg 2.91-2.96
Ga 0.8138 0.4113 0.8445  4 Ga 2.65-2.80, 1 Al 2.87
Ga 0.8652 0.8652 0.4120  4 Ga 2.65-2.72, 2 Al 2.73, 2 Mg 2.85-2.91
Ga 0.9417 0.3527 0.2361  4 Ga 2.67-2.73, 2 Mg 2.91-2.96

Computed properties:
E above lowest polymorph = 0 meV per atom
M_tot = 0.0 Bohr magnetons per cell
Energy of formation from the pure elements = -50 meV/atom
Raw total energy = -2.7755 eV/atom

Which value of M_tot does entry 1 give?
0.0 Bohr magnetons per cell

Number 1 is which compound?
BeGaPt4

Repeat the third record exactly.
Here is a relaxed Mg5Al2Ga12 crystal from Alexandria. Energies are from PBE.

Cell: 9.0926 9.0926 6.6212 Å, 95.25 95.25 42.51°
With the nearest neighbours (Å) after each atom.
Positions (direct):
Mg 0.0000 0.0000 0.0000  8 Ga 2.99-3.12
Mg 0.2464 0.2464 0.9383  9 Ga 2.85-3.03
Mg 0.2938 0.2938 0.4576  7 Ga 2.91-3.07
Mg 0.7062 0.7062 0.5424  7 Ga 2.91-3.07
Mg 0.7536 0.7536 0.0617  9 Ga 2.85-3.03
Al 0.2227 0.7773 0.5000  6 Ga 2.73-2.87, 1 Al 2.94
Al 0.7773 0.2227 0.5000  6 Ga 2.73-2.87, 1 Al 2.94
Ga 0.0583 0.6473 0.7639  4 Ga 2.67-2.73, 2 Mg 2.91-2.96
Ga 0.1348 0.1348 0.5880  4 Ga 2.65-2.72, 2 Al 2.73, 2 Mg 2.85-2.91
Ga 0.1862 0.5887 0.1555  4 Ga 2.65-2.80, 1 Al 2.87
Ga 0.3527 0.9417 0.2361  4 Ga 2.67-2.73, 2 Mg 2.91-2.96
Ga 0.4113 0.8138 0.8445  4 Ga 2.65-2.80, 1 Al 2.87
Ga 0.4663 0.4663 0.7914  5 Ga 2.73-2.88, 2 Al 2.76
Ga 0.5337 0.5337 0.2086  5 Ga 2.73-2.88, 2 Al 2.76
Ga 0.5887 0.1862 0.1555  4 Ga 2.65-2.80, 1 Al 2.87
Ga 0.6473 0.0583 0.7639  4 Ga 2.67-2.73, 2 Mg 2.91-2.96
Ga 0.8138 0.4113 0.8445  4 Ga 2.65-2.80, 1 Al 2.87
Ga 0.8652 0.8652 0.4120  4 Ga 2.65-2.72, 2 Al 2.73, 2 Mg 2.85-2.91
Ga 0.9417 0.3527 0.2361  4 Ga 2.67-2.73, 2 Mg 2.91-2.96

Computed properties:
E above lowest polymorph = 0 meV per atom
M_tot = 0.0 Bohr magnetons per cell
Energy of formation from the pure elements = -50 meV/atom
Raw total energy = -2.7755 eV/atom